1.
Entry from Alexandria via LeMat-Bulk: a geometry-optimized K2BaTl2 structure (PBE).

Results
As for the spin magnetization: 0.00 μB/f.u. As for the space group: P4/mbm (127). The formation enthalpy at 0 K comes out at -0.063 eV per atom. The value obtained for the density of states at the Fermi level is 6.895 states/eV/f.u.

Cell lengths 9.1186, 9.1186, 5.5716 Å; angles 90.00, 90.00, 90.00 degrees
Last column: nearest neighbours and their distance in Å.
Fractional coordinates of all 10 atoms:
K 0.1662 0.3338 0.0000  6 Tl 3.85-3.91, 1 K 4.29
K 0.3338 0.8338 0.0000  6 Tl 3.85-3.91, 1 K 4.29
K 0.6662 0.1662 0.0000  6 Tl 3.85-3.91, 1 K 4.29
K 0.8338 0.6662 0.0000  6 Tl 3.85-3.91, 1 K 4.29
Ba 0.0000 0.0000 0.5000  4 Tl 3.63
Ba 0.5000 0.5000 0.5000  4 Tl 3.63
Tl 0.1213 0.6213 0.5000  1 Tl 3.13
Tl 0.3787 0.1213 0.5000  1 Tl 3.13
Tl 0.6213 0.8787 0.5000  1 Tl 3.13
Tl 0.8787 0.3787 0.5000  1 Tl 3.13



2.
Entry from Alexandria via LeMat-Bulk: a geometry-optimized TaBiPt structure (PBE).

Results
As for the spin magnetization: 0.00 μB/f.u. As for the space group: P-1 (2). The formation enthalpy at 0 K comes out at -0.166 eV per atom. The value obtained for the density of states at the Fermi level is 2.129 states/eV/f.u.

Cell lengths 3.2301, 4.7577, 9.9422 Å; angles 85.60, 86.09, 71.37 degrees
Last column: nearest neighbours and their distance in Å.
Fractional coordinates of all 6 atoms:
Ta 0.0451 0.3194 0.1571  5 Pt 2.69-2.82, 1 Bi 3.00
Ta 0.9549 0.6806 0.8429  5 Pt 2.69-2.82, 1 Bi 3.00
Bi 0.3064 0.1216 0.6665  3 Ta 3.00-3.15, 2 Pt 3.10-3.25, 2 Bi 3.23
Bi 0.6936 0.8784 0.3335  3 Ta 3.00-3.15, 2 Pt 3.10-3.25, 2 Bi 3.23
Pt 0.3451 0.7704 0.0655  5 Ta 2.69-2.82, 3 Pt 2.83-2.88
Pt 0.6549 0.2296 0.9345  5 Ta 2.69-2.82, 3 Pt 2.83-2.88



3.
Entry from Alexandria via LeMat-Bulk: a geometry-optimized CeScSbO6 structure (PBE).

Results
As for the spin magnetization: 0.00 μB/f.u. As for the space group: P-31c (163). Its formation energy from raw total energies is -2641 meV per atom.

Cell lengths 5.3693, 5.3693, 9.7440 Å; angles 90.00, 90.00, 120.00 degrees
Last column: nearest neighbours and their distance in Å.
Fractional coordinates of all 18 atoms:
Ce 0.0000 0.0000 0.0000  6 O 2.30
Ce 0.0000 0.0000 0.5000  6 O 2.30
Sc 0.3333 0.6667 0.2500  6 O 2.12
Sc 0.6667 0.3333 0.7500  6 O 2.12
Sb 0.3333 0.6667 0.7500  6 O 2.02
Sb 0.6667 0.3333 0.2500  6 O 2.02
O 0.0157 0.3582 0.6360  1 Sb 2.02, 1 Sc 2.12
O 0.0157 0.6575 0.8640  1 Sb 2.02, 1 Sc 2.12
O 0.3425 0.3582 0.8640  1 Sb 2.02, 1 Sc 2.12
O 0.3425 0.9843 0.6360  1 Sb 2.02, 1 Sc 2.12
O 0.3582 0.0157 0.1360  1 Sb 2.02, 1 Sc 2.12
O 0.3582 0.3425 0.3640  1 Sb 2.02, 1 Sc 2.12
O 0.6418 0.6575 0.6360  1 Sb 2.02, 1 Sc 2.12
O 0.6418 0.9843 0.8640  1 Sb 2.02, 1 Sc 2.12
O 0.6575 0.0157 0.3640  1 Sb 2.02, 1 Sc 2.12
O 0.6575 0.6418 0.1360  1 Sb 2.02, 1 Sc 2.12
O 0.9843 0.3425 0.1360  1 Sb 2.02, 1 Sc 2.12
O 0.9843 0.6418 0.3640  1 Sb 2.02, 1 Sc 2.12



Computed calculated density (g/cm3) in order:
4.48, 13.47, 5.50